Entry 1:
Density functional theory data (PBE-GGA) for crystalline MnAlAu2 at its relaxed geometry.

Cell lengths 8.9253, 8.9253, 8.9253 Å; angles 18.99, 18.99, 18.99 degrees
Last column: nearest neighbours and their distance in Å.
Element x y z (fractional)
Mn1 0.0000 0.0000 0.0000  3 Al 2.62, 3 Au 2.75
Al1 0.2576 0.2576 0.2576  3 Mn 2.62, 3 Au 2.71
Au1 0.5104 0.5104 0.5104  3 Al 2.71, 9 Au 2.94-3.02
Au2 0.7487 0.7487 0.7487  3 Mn 2.75, 9 Au 2.94-3.02

## Properties
- DFT formation energy (meV/atom) = -34
- Fermi-level density of states (states/eV/f.u.) = 2.87
- raw total energy (eV/atom) = -4.9003
- M_tot (μB per formula unit) = 3.11

***

Entry 2:
Density functional theory data (PBE-GGA) for crystalline MnAl2Au8 at its relaxed geometry.

Cell lengths 7.1490, 7.1490, 4.7635 Å; angles 100.77, 100.77, 60.81 degrees
Last column: nearest neighbours and their distance in Å.
Element x y z (fractional)
Mn1 0.0000 0.0000 0.0000  6 Au 2.64-2.65, 4 Al 2.79-2.93
Al1 0.1309 0.1309 0.5556  5 Au 2.55-2.67, 1 Mn 2.79
Al2 0.8691 0.8691 0.4444  5 Au 2.55-2.67, 1 Mn 2.79
Au1 0.2199 0.2199 0.1187  2 Al 2.55-2.67, 1 Mn 2.65, 1 Au 2.82
Au2 0.2273 0.6293 0.2217  1 Al 2.58, 1 Mn 2.64, 1 Au 2.85
Au3 0.3505 0.3505 0.6839  1 Al 2.64, 4 Au 2.82-2.92
Au4 0.3707 0.7727 0.7783  1 Al 2.58, 1 Mn 2.64, 1 Au 2.85
Au5 0.6293 0.2273 0.2217  1 Al 2.58, 1 Mn 2.64, 1 Au 2.85
Au6 0.6495 0.6495 0.3161  1 Al 2.64, 4 Au 2.82-2.92
Au7 0.7727 0.3707 0.7783  1 Al 2.58, 1 Mn 2.64, 1 Au 2.85
Au8 0.7801 0.7801 0.8813  2 Al 2.55-2.67, 1 Mn 2.65, 1 Au 2.82

## Properties
- DFT formation energy (meV/atom) = -90
- Fermi-level density of states (states/eV/f.u.) = 4.33
- raw total energy (eV/atom) = -3.9872
- distance to the lowest polymorph of the same formula (eV/atom) = 0.094
- M_tot (μB per formula unit) = 3.69

***

Entry 3:
Density functional theory data (PBE-GGA) for crystalline Mn2Al2Au at its relaxed geometry.

Cell lengths 7.0442, 7.0442, 2.9876 Å; angles 90.00, 90.00, 90.00 degrees
Last column: nearest neighbours and their distance in Å.
Element x y z (fractional)
Mn1 0.1633 0.3367 0.0000  6 Al 2.52-2.57
Mn2 0.3367 0.8367 0.0000  6 Al 2.52-2.57
Mn3 0.6633 0.1633 0.0000  6 Al 2.52-2.57
Mn4 0.8367 0.6633 0.0000  6 Al 2.52-2.57
Al1 0.1329 0.6329 0.5000  6 Mn 2.52-2.57, 1 Al 2.65, 2 Au 2.75
Al2 0.3671 0.1329 0.5000  6 Mn 2.52-2.57, 1 Al 2.65, 2 Au 2.75
Al3 0.6329 0.8671 0.5000  6 Mn 2.52-2.57, 1 Al 2.65, 2 Au 2.75
Al4 0.8671 0.3671 0.5000  6 Mn 2.52-2.57, 1 Al 2.65, 2 Au 2.75
Au1 0.0000 0.0000 0.5000  4 Al 2.75, 2 Au 2.99, 8 Mn 3.03
Au2 0.5000 0.5000 0.5000  4 Al 2.75, 2 Au 2.99, 8 Mn 3.03

## Properties
- DFT formation energy (meV/atom) = -102
- Fermi-level density of states (states/eV/f.u.) = 3.07
- raw total energy (eV/atom) = -5.9220
- distance to the lowest polymorph of the same formula (eV/atom) = 0.000
- M_tot (μB per formula unit) = 5.91

***

Entry 4:
Density functional theory data (PBE-GGA) for crystalline MnAlAu6 at its relaxed geometry.

Cell lengths 7.2348, 7.1188, 4.6540 Å; angles 72.44, 69.74, 37.83 degrees
Last column: nearest neighbours and their distance in Å.
Element x y z (fractional)
Mn1 0.0000 0.0000 0.0000  8 Au 2.75
Al1 0.5000 0.5000 0.5000  8 Au 2.75
Au1 0.1144 0.1144 0.3856  2 Mn 2.75, 2 Al 2.75, 5 Au 2.89-2.92
Au2 0.2491 0.2491 0.7509  10 Au 2.89-3.16, 1 Mn 3.18, 1 Al 3.20
Au3 0.3856 0.3856 0.1144  2 Mn 2.75, 2 Al 2.75, 5 Au 2.89-2.92
Au4 0.6144 0.6144 0.8856  2 Mn 2.75, 2 Al 2.75, 5 Au 2.89-2.92
Au5 0.7509 0.7509 0.2491  10 Au 2.89-3.16, 1 Mn 3.18, 1 Al 3.20
Au6 0.8856 0.8856 0.6144  2 Mn 2.75, 2 Al 2.75, 5 Au 2.89-2.92

## Properties
- DFT formation energy (meV/atom) = -147
- Fermi-level density of states (states/eV/f.u.) = 2.89
- raw total energy (eV/atom) = -4.2188
- distance to the lowest polymorph of the same formula (eV/atom) = 0.000
- M_tot (μB per formula unit) = 3.96

***

Entry 5:
Density functional theory data (PBE-GGA) for crystalline MnAl2Au5 at its relaxed geometry.

Cell lengths 5.6192, 11.1453, 4.3252 Å; angles 90.00, 90.00, 90.00 degrees
Last column: nearest neighbours and their distance in Å.
Element x y z (fractional)
Mn1 0.0000 0.0000 0.0000  8 Au 2.69-2.81
Mn2 0.5000 0.5000 0.0000  8 Au 2.69-2.81
Al1 0.1931 0.3730 0.5000  8 Au 2.70-2.90
Al2 0.3069 0.8730 0.5000  8 Au 2.70-2.90
Al3 0.6931 0.1270 0.5000  8 Au 2.70-2.90
Al4 0.8069 0.6270 0.5000  8 Au 2.70-2.90
Au1 0.0000 0.5000 0.0000  4 Al 2.80, 2 Mn 2.81, 6 Au 3.02-3.03
Au2 0.1132 0.7651 0.0000  1 Mn 2.69, 2 Al 2.70, 4 Au 2.83-2.95
Au3 0.1972 0.1132 0.5000  2 Mn 2.74, 4 Al 2.75-2.90, 4 Au 2.95-3.03
Au4 0.3028 0.6132 0.5000  2 Mn 2.74, 4 Al 2.75-2.90, 4 Au 2.95-3.03
Au5 0.3868 0.2651 0.0000  1 Mn 2.69, 2 Al 2.70, 4 Au 2.83-2.95
Au6 0.5000 0.0000 0.0000  4 Al 2.80, 2 Mn 2.81, 6 Au 3.02-3.03
Au7 0.6132 0.7349 0.0000  1 Mn 2.69, 2 Al 2.70, 4 Au 2.83-2.95
Au8 0.6972 0.3868 0.5000  2 Mn 2.74, 4 Al 2.75-2.90, 4 Au 2.95-3.03
Au9 0.8028 0.8868 0.5000  2 Mn 2.74, 4 Al 2.75-2.90, 4 Au 2.95-3.03
Au10 0.8868 0.2349 0.0000  1 Mn 2.69, 2 Al 2.70, 4 Au 2.83-2.95

## Properties
- DFT formation energy (meV/atom) = -212
- Fermi-level density of states (states/eV/f.u.) = 2.41
- raw total energy (eV/atom) = -4.3422
- M_tot (μB per formula unit) = 3.87

***

Entry 6:
Density functional theory data (PBE-GGA) for crystalline MnAl3Au6 at its relaxed geometry.

Cell lengths 8.1885, 4.4050, 9.9593 Å; angles 90.00, 108.12, 90.00 degrees
Last column: nearest neighbours and their distance in Å.
Element x y z (fractional)
Mn1 0.0403 0.2500 0.3966  10 Au 2.82-3.14
Mn2 0.9597 0.7500 0.6034  10 Au 2.82-3.14
Al1 0.2030 0.2500 0.0495  6 Au 2.64-2.87
Al2 0.3802 0.7500 0.7965  8 Au 2.64-2.82
Al3 0.4645 0.2500 0.6141  8 Au 2.62-2.93
Al4 0.5355 0.7500 0.3859  8 Au 2.62-2.93
Al5 0.6198 0.2500 0.2035  8 Au 2.64-2.82
Al6 0.7970 0.7500 0.9504  6 Au 2.64-2.87
Au1 0.1157 0.7500 0.8984  4 Al 2.64-2.81, 1 Mn 2.82, 3 Au 2.86-2.88
Au2 0.1170 0.7500 0.1997  3 Al 2.87-3.00, 7 Au 2.88-3.00, 2 Mn 3.14
Au3 0.1838 0.2500 0.6929  3 Al 2.65-2.73, 3 Mn 2.82-2.83
Au4 0.2557 0.7500 0.5110  4 Al 2.71-2.93, 3 Mn 2.83-2.85, 3 Au 2.95-3.02
Au5 0.3545 0.2500 0.3280  5 Al 2.62-2.82, 1 Mn 2.86
Au6 0.4567 0.7500 0.0915  4 Al 2.64-2.81, 1 Au 2.86
Au7 0.5433 0.2500 0.9085  4 Al 2.64-2.81, 1 Au 2.86
Au8 0.6455 0.7500 0.6720  5 Al 2.62-2.82, 1 Mn 2.86
Au9 0.7443 0.2500 0.4890  4 Al 2.71-2.93, 3 Mn 2.83-2.85, 3 Au 2.95-3.02
Au10 0.8162 0.7500 0.3071  3 Al 2.65-2.73, 3 Mn 2.82-2.83
Au11 0.8830 0.2500 0.8003  3 Al 2.87-3.00, 7 Au 2.88-3.00, 2 Mn 3.14
Au12 0.8843 0.2500 0.1016  4 Al 2.64-2.81, 1 Mn 2.82, 3 Au 2.86-2.88

## Properties
- DFT formation energy (meV/atom) = -234
- Fermi-level density of states (states/eV/f.u.) = 3.40
- raw total energy (eV/atom) = -4.2399
- M_tot (μB per formula unit) = 4.22

***

Entry 7:
Density functional theory data (PBE-GGA) for crystalline MnAlAu4 at its relaxed geometry.

Cell lengths 9.3317, 9.3317, 7.1968 Å; angles 90.00, 90.00, 159.74 degrees
Last column: nearest neighbours and their distance in Å.
Element x y z (fractional)
Mn1 0.1833 0.8167 0.5000  8 Au 2.68-2.86
Mn2 0.8167 0.1833 0.0000  8 Au 2.68-2.86
Al1 0.4342 0.5658 0.5565  6 Au 2.56-2.78
Al2 0.5658 0.4342 0.0565  6 Au 2.56-2.78
Au1 0.0479 0.9521 0.7615  2 Al 2.70, 6 Au 2.93-2.96
Au2 0.3066 0.6934 0.6991  1 Al 2.56, 3 Mn 2.68-2.72, 2 Au 2.84
Au3 0.3192 0.6808 0.3060  3 Mn 2.75-2.86, 1 Al 2.78, 5 Au 2.84-2.96
Au4 0.4330 0.5670 0.9265  2 Al 2.61-2.66, 2 Mn 2.75, 3 Au 2.84-2.93
Au5 0.5670 0.4330 0.4265  2 Al 2.61-2.66, 2 Mn 2.75, 3 Au 2.84-2.93
Au6 0.6808 0.3192 0.8060  3 Mn 2.75-2.86, 1 Al 2.78, 5 Au 2.84-2.96
Au7 0.6934 0.3066 0.1991  1 Al 2.56, 3 Mn 2.68-2.72, 2 Au 2.84
Au8 0.9521 0.0479 0.2615  2 Al 2.70, 6 Au 2.93-2.96

## Properties
- DFT formation energy (meV/atom) = -107
- Fermi-level density of states (states/eV/f.u.) = 2.32
- raw total energy (eV/atom) = -4.4438
- distance to the lowest polymorph of the same formula (eV/atom) = 0.000
- M_tot (μB per formula unit) = 4.23

***

Entry 8:
Density functional theory data (PBE-GGA) for crystalline Mn2Al2Au at its relaxed geometry.

Cell lengths 6.6527, 6.6527, 6.6527 Å; angles 148.12, 148.12, 45.72 degrees
Last column: nearest neighbours and their distance in Å.
Element x y z (fractional)
Mn1 0.0985 0.0985 0.0000  1 Mn 2.41, 4 Al 2.61
Mn2 0.9015 0.9015 0.0000  1 Mn 2.41, 4 Al 2.61
Al1 0.2500 0.7500 0.5000  4 Al 2.58, 4 Mn 2.61
Al2 0.7500 0.2500 0.5000  4 Al 2.58, 4 Mn 2.61
Au1 0.5000 0.5000 0.0000  8 Mn 2.85

## Properties
- DFT formation energy (meV/atom) = 247
- Fermi-level density of states (states/eV/f.u.) = 5.02
- raw total energy (eV/atom) = -5.5733
- distance to the lowest polymorph of the same formula (eV/atom) = 0.349
- M_tot (μB per formula unit) = 6.06

***

Q: Which of these has the highest raw total energy?
A: MnAl2Au8

***

Q: Which value of M_tot does entry 7 give?
A: 4.23 μB per formula unit

***

Q: Which formula does entry 4 have?
A: MnAlAu6

***

Q: What is the Fermi-level density of states in the fifth record?
A: 2.41 states/eV/f.u.